4
Lattice="2.9554 -4.9056 0.0000 2.9554 4.9056 0.0000 0.0000 0.0000 2.9104" Properties=species:S:1:pos:R:3 comment="LaAl2Cu PBE relaxed" formation_enthalpy_0k_ev_per_atom=0.130 vol_a3_per_fu=84 pbc="T T T"
La 0.0000 0.0000 0.0000
Al 1.4777 2.4528 1.4552
Al 1.4777 -2.4528 1.4552
Cu 2.9554 0.0000 0.0000